Tm8Cu2Rh | GGA-PBE | optimized geometry

a b c (Å): 5.025 6.581 8.856
angles (deg): 106.24 106.48 90.00
Element x y z (fractional)
Tm (0.409, 0.557, 0.818)
Tm (0.667, 0.977, 0.334)
Tm (0.800, 0.678, 0.601)
Tm (0.968, 0.211, 0.936)
Tm (0.200, 0.322, 0.399)
Tm (0.333, 0.023, 0.666)
Tm (0.591, 0.443, 0.182)
Tm (0.032, 0.789, 0.064)
Cu (0.815, 0.279, 0.631)
Cu (0.185, 0.721, 0.369)
Rh (0.500, 0.000, 0.000)

Properties
**Total magnetic moment**: 0.000 Bohr magnetons per cell
**E_form**: -276 meV/atom
**Calculated volume**: 24.4 Å³ per atom
**E above lowest polymorph**: 0 meV/atom
**Crystal system**: monoclinic